Density functional theory data (PBE) for a relaxed FeHg2Cl crystal.

abc: 3.3676 3.3676 10.0624
angles: 90.00 90.00 123.77
Positions (direct):
Hg  0.0000  0.0000  0.9568
Fe  0.5000  0.5000  0.7358
Hg  0.5000  0.5000  0.2369
Cl  0.0000  0.0000  0.5705

Results
VASP energy   -10.63 eV per cell
Crystal system   orthorhombic
Formation energy from raw total energies   0.0699 eV/atom
E above lowest polymorph   105 meV/atom